FePdI2O after structural relaxation. Source: Alexandria, functional PBE with a Hubbard U.

ρ (Mg/m³): 5.81
DOS(E_F) (states/eV/f.u.): 2.22
SG: P4/mmm (123)
DFT total energy (eV per atom): -3.538
V (Å³/atom): 24.7

Lattice parameters (Å, degrees): 5.613 5.613 3.916 90.00 90.00 90.00
Atoms (fractional coordinates):
Fe1 0.000 0.000 0.000
Pd1 0.500 0.500 0.500
I1 0.000 0.500 0.500
I2 0.500 0.000 0.500
O1 0.500 0.500 0.000